Here is an optimized crystal structure of AlCuTc2 from the Alexandria database. Energies are from GGA-PBE.

Cell lengths 3.0135, 3.0135, 6.1585 Å; angles 90.00, 90.00, 90.00 degrees
Last column: nearest neighbours and their distance in Å.
Fractional coordinates of all 4 atoms:
Tc 0.0000 0.0000 0.0115  4 Tc 2.56, 4 Cu 2.74
Tc 0.5000 0.5000 0.2409  4 Tc 2.56, 4 Al 2.72
Cu 0.5000 0.5000 0.7327  4 Al 2.52, 4 Tc 2.74
Al 0.0000 0.0000 0.5150  4 Cu 2.52, 4 Tc 2.72

Calculated values
Calculated formation energy in eV per atom: -0.156
Uncorrected energy in eV per cell: -29.19
DOS at the Fermi energy in states/eV/atom: 0.492


Here is an optimized crystal structure of Ce4PmSm3Se8 from the Alexandria database. Energies are from GGA-PBE.

Cell lengths 8.3748, 8.3990, 8.3734 Å; angles 119.88, 120.01, 90.00 degrees
Last column: nearest neighbours and their distance in Å.
Fractional coordinates of all 16 atoms:
Ce 0.5000 0.0000 0.0000  6 Se 2.97
Se 0.2493 0.7476 0.9974  2 Sm 2.95-2.96, 1 Pm 2.96, 3 Ce 2.97-2.98
Ce 0.0000 0.0000 0.0000  6 Se 2.98
Se 0.7500 0.2524 0.5000  2 Sm 2.95, 1 Pm 2.97, 3 Ce 2.97-2.98
Sm 0.5000 0.5000 0.5000  6 Se 2.95
Se 0.2510 0.2533 0.5021  3 Sm 2.95, 3 Ce 2.98
Se 0.7507 0.2524 0.0026  2 Sm 2.95-2.96, 1 Pm 2.96, 3 Ce 2.97-2.98
Se 0.7490 0.7467 0.4979  3 Sm 2.95, 3 Ce 2.98
Sm 0.5000 0.5000 0.0000  6 Se 2.95-2.96
Se 0.2500 0.7476 0.5000  2 Sm 2.95, 1 Pm 2.97, 3 Ce 2.97-2.98
Se 0.7482 0.7476 0.9974  2 Sm 2.95-2.96, 1 Pm 2.96, 3 Ce 2.97-2.98
Ce 0.0000 0.0000 0.5000  6 Se 2.98
Pm 0.0000 0.5000 0.0000  6 Se 2.96-2.97
Ce 0.5000 0.0000 0.5000  6 Se 2.98
Sm 0.0000 0.5000 0.5000  6 Se 2.95
Se 0.2518 0.2524 0.0026  2 Sm 2.95-2.96, 1 Pm 2.96, 3 Ce 2.97-2.98

Calculated values
Formation energy (no corrections) in meV per atom: -1837
Uncorrected energy in eV per cell: -99.91
DOS at the Fermi energy in states/eV/atom: 1.617


Here is an optimized crystal structure of BeZn2 from the Alexandria database. Energies are from GGA-PBE.

Cell lengths 6.0746, 6.0746, 3.7340 Å; angles 90.00, 90.00, 120.00 degrees
Last column: nearest neighbours and their distance in Å.
Fractional coordinates of all 9 atoms:
Zn 0.5854 0.0000 0.5000  5 Be 2.52-2.61, 2 Zn 2.77
Zn 0.0000 0.5854 0.5000  5 Be 2.52-2.61, 2 Zn 2.77
Be 0.6667 0.3333 0.0000  3 Zn 2.32
Zn 0.4146 0.4146 0.5000  5 Be 2.52-2.61, 2 Zn 2.77
Zn 0.2494 0.0000 0.0000  4 Be 2.32-2.40
Be 0.0000 0.0000 0.5000  9 Zn 2.40-2.52
Be 0.3333 0.6667 0.0000  3 Zn 2.32
Zn 0.0000 0.2494 0.0000  4 Be 2.32-2.40
Zn 0.7506 0.7506 0.0000  4 Be 2.32-2.40

Calculated values
Calculated formation energy in eV per atom: 0.277
Uncorrected energy in eV per cell: -16.33
DOS at the Fermi energy in states/eV/atom: 0.402


Here is an optimized crystal structure of NaEuSnAu from the Alexandria database. Energies are from GGA-PBE.

Cell lengths 5.1282, 5.1282, 5.1282 Å; angles 60.00, 60.00, 60.00 degrees
Last column: nearest neighbours and their distance in Å.
Fractional coordinates of all 4 atoms:
Au 0.2500 0.2500 0.2500  4 Eu 3.14, 4 Sn 3.14
Na 0.7500 0.7500 0.7500  4 Sn 3.14, 4 Eu 3.14
Sn 0.5000 0.5000 0.5000  4 Au 3.14, 4 Na 3.14
Eu 0.0000 0.0000 0.0000  4 Na 3.14, 4 Au 3.14

Calculated values
Calculated formation energy in eV per atom: -0.480
Uncorrected energy in eV per cell: -20.79
DOS at the Fermi energy in states/eV/atom: 3.064


Here is an optimized crystal structure of LaCrAu2 from the Alexandria database. Energies are from GGA-PBE.

Cell lengths 5.4549, 5.4549, 5.4549 Å; angles 132.77, 132.77, 69.01 degrees
Last column: nearest neighbours and their distance in Å.
Fractional coordinates of all 4 atoms:
Au 0.0000 0.0000 0.0000  4 Cr 3.09, 4 La 3.13, 4 Au 3.13
La 0.7500 0.2500 0.5000  8 Au 3.09-3.13, 4 Cr 3.13
Cr 0.5000 0.5000 0.0000  8 Au 3.09-3.13, 4 La 3.13
Au 0.2500 0.7500 0.5000  4 La 3.09, 4 Cr 3.13, 4 Au 3.13

Calculated values
Calculated formation energy in eV per atom: -0.202
Uncorrected energy in eV per cell: -21.91
Distance to the lowest polymorph of the same formula in meV/atom: 148.5
DOS at the Fermi energy in states/eV/atom: 0.427


Here is an optimized crystal structure of SiNi2Hg from the Alexandria database. Energies are from GGA-PBE.

Cell lengths 4.2897, 4.2897, 4.2897 Å; angles 60.00, 60.00, 60.00 degrees
Last column: nearest neighbours and their distance in Å.
Fractional coordinates of all 4 atoms:
Ni 0.7500 0.7500 0.7500  4 Ni 2.63, 4 Hg 2.63
Ni 0.0000 0.0000 0.0000  4 Ni 2.63, 4 Si 2.63
Si 0.2500 0.2500 0.2500  4 Ni 2.63, 4 Hg 2.63
Hg 0.5000 0.5000 0.5000  4 Si 2.63, 4 Ni 2.63

Calculated values
Formation energy (no corrections) in meV per atom: 303
Uncorrected energy in eV per cell: -16.07
Distance to the lowest polymorph of the same formula in meV/atom: 492.6
DOS at the Fermi energy in states/eV/atom: 0.845


Here is an optimized crystal structure of LaYPb3 from the Alexandria database. Energies are from GGA-PBE.

Cell lengths 5.7375, 5.7375, 5.7375 Å; angles 90.00, 90.00, 90.00 degrees
Last column: nearest neighbours and their distance in Å.
Fractional coordinates of all 5 atoms:
Y 0.0000 0.0000 0.0000  6 Pb 2.87
La 0.5000 0.5000 0.5000  12 Pb 4.06
Pb 0.0000 0.5000 0.0000  2 Y 2.87
Pb 0.5000 0.0000 0.0000  2 Y 2.87
Pb 0.0000 0.0000 0.5000  2 Y 2.87

Calculated values
Calculated formation energy in eV per atom: 0.073
Uncorrected energy in eV per cell: -22.15
Distance to the lowest polymorph of the same formula in meV/atom: 0.0
DOS at the Fermi energy in states/eV/atom: 0.361


Here is an optimized crystal structure of K2CrGaS4 from the Alexandria database. Energies are from GGA-PBE.

Cell lengths 7.7989, 7.7989, 7.7687 Å; angles 119.87, 119.87, 90.06 degrees
Last column: nearest neighbours and their distance in Å.
Fractional coordinates of all 16 atoms:
K 0.5000 0.0000 0.5000  6 S 3.04
S 0.2206 0.6847 0.4526  2 Cr 2.51, 1 Ga 2.59
Ga 0.5000 0.5000 0.5000  6 S 2.58-2.59
S 0.1847 0.7206 0.9526  2 Cr 2.51, 1 Ga 2.59
S 0.2254 0.2745 0.0367  1 Cr 2.50, 2 Ga 2.58
S 0.8153 0.2794 0.0474  2 Cr 2.51, 1 Ga 2.59
S 0.7794 0.3153 0.5474  2 Cr 2.51, 1 Ga 2.59
S 0.2255 0.2746 0.4633  1 Cr 2.50, 2 Ga 2.58
K 0.0000 0.0000 0.5000  6 S 2.98
Ga 0.0000 0.0000 0.0000  6 S 2.58-2.59
K 0.5000 0.5000 0.0000  6 S 2.98
S 0.7746 0.7255 0.9633  1 Cr 2.50, 2 Ga 2.58
Cr 0.0000 0.5000 0.0000  6 S 2.50-2.51
K 0.5000 0.0000 0.0000  6 S 3.04
S 0.7745 0.7254 0.5367  1 Cr 2.50, 2 Ga 2.58
Cr 0.0000 0.5000 0.5000  6 S 2.50-2.51

Calculated values
Formation energy (no corrections) in meV per atom: -782
Uncorrected energy in eV per cell: -75.22
DOS at the Fermi energy in states/eV/atom: 0.079